MgRh2N PBEsol relaxed; space group = Fm-3m, No. 225; magnetic moment = 0.055 μB/atom; ΔE_f (raw) = 0.88 eV/atom; calculated total energy = -23.00 eV for the cell shown
1.0
0.0000 2.9037 2.9037
2.9037 0.0000 2.9037
2.9037 2.9037 0.0000
Mg Rh N
1 2 1
Direct
0.0000 0.0000 0.0000 Mg
0.2500 0.2500 0.2500 Rh
0.7500 0.7500 0.7500 Rh
0.5000 0.5000 0.5000 N